1.
Computed, not measured: a geometry-optimized RhAu4 structure at the PBE level of DFT.

Calculated volume   19.7 Å³ per atom
ρ   15.0 g/cm³
Formation energy from the elements   0.46 eV per atom
Distance to the lowest polymorph of the same formula   0.360 eV/atom

Lattice parameters (Å, degrees): 7.480 7.480 7.480 150.95 150.95 41.54
Site moments in Bohr magnetons follow the coordinates.
Element x y z (fractional)
1 Au 0.750 0.250 0.500  0.01
2 Au 0.250 0.750 0.500  0.01
3 Au 0.406 0.406 0.000  0.08
4 Rh 0.000 0.000 0.000  1.08
5 Au 0.594 0.594 0.000  0.08

---

2.
Computed, not measured: a geometry-optimized Ac2TbTe5Au structure at the PBE level of DFT.

Formation energy without anion corrections   -1.313 eV per atom
Calculated volume   33.2 Å³ per atom
ρ   8.1 g/cm³

Lattice parameters (Å, degrees): 4.509 10.075 13.483 90.00 90.00 102.93
Element x y z (fractional)
1 Au 0.427 0.854 0.457
2 Te 0.500 0.000 0.777
3 Ac 0.114 0.228 0.689
4 Te 0.304 0.608 0.346
5 Te 0.696 0.392 0.846
6 Ac 0.124 0.247 0.311
7 Ac 0.876 0.753 0.811
8 Au 0.573 0.146 0.957
9 Te 0.041 0.083 0.066
10 Ac 0.886 0.772 0.189
11 Tb 0.188 0.377 0.010
12 Te 0.500 0.000 0.277
13 Te 0.290 0.579 0.668
14 Te 0.710 0.421 0.168
15 Te 0.351 0.702 0.002
16 Te 0.649 0.298 0.502
17 Te 0.959 0.917 0.566
18 Tb 0.812 0.623 0.510

---

3.
Computed, not measured: a geometry-optimized TbTmGa4 structure at the PBE level of DFT.

Calculated volume   19.5 Å³ per atom
ρ   8.6 g/cm³
Formation energy from the elements   -0.54 eV per atom
Distance to the lowest polymorph of the same formula   0.084 eV/atom

Lattice parameters (Å, degrees): 5.492 5.492 5.492 60.00 60.00 60.00
Element x y z (fractional)
1 Ga 0.125 0.625 0.625
2 Ga 0.625 0.625 0.125
3 Tb 0.000 0.000 0.000
4 Tm 0.250 0.250 0.250
5 Ga 0.625 0.625 0.625
6 Ga 0.625 0.125 0.625

---

4.
Computed, not measured: a geometry-optimized Pm8ZnAg2 structure at the PBE level of DFT.

Calculated volume   29.8 Å³ per atom
ρ   7.3 g/cm³
Formation energy from the elements   -0.12 eV per atom

Lattice parameters (Å, degrees): 5.309 7.061 9.528 106.56 106.18 90.00
Element x y z (fractional)
1 Ag 0.819 0.276 0.638
2 Pm 0.409 0.541 0.817
3 Ag 0.181 0.724 0.362
4 Pm 0.025 0.778 0.050
5 Pm 0.975 0.222 0.950
6 Zn 0.500 0.000 0.000
7 Pm 0.666 0.981 0.333
8 Pm 0.334 0.019 0.667
9 Pm 0.803 0.683 0.606
10 Pm 0.197 0.317 0.394
11 Pm 0.591 0.459 0.183

---

5.
Computed, not measured: a geometry-optimized LiTbCe2Se4 structure at the PBE level of DFT.

Formation energy without anion corrections   -1.721 eV per atom
Calculated volume   25.0 Å³ per atom
ρ   6.3 g/cm³

Lattice parameters (Å, degrees): 4.135 7.179 7.145 70.53 90.00 90.00
Site moments in Bohr magnetons follow the coordinates.
Element x y z (fractional)
1 Se 0.000 0.266 0.241  -0.01
2 Ce 0.500 0.000 0.500  1.02
3 Tb 0.000 0.500 0.500  0.03
4 Se 0.500 0.264 0.751  -0.01
5 Se 0.000 0.734 0.759  -0.01
6 Li 0.500 0.500 0.000  0.00
7 Se 0.500 0.736 0.249  -0.01
8 Ce 0.000 0.000 0.000  0.95

---

6.
Computed, not measured: a geometry-optimized Mg14MnC structure at the PBE level of DFT.

Calculated volume   20.8 Å³ per atom
ρ   2.0 g/cm³
Formation energy from the elements   0.20 eV per atom
Distance to the lowest polymorph of the same formula   0.000 eV/atom

Lattice parameters (Å, degrees): 6.277 6.277 8.704 90.00 90.00 103.57
Site moments in Bohr magnetons follow the coordinates.
Element x y z (fractional)
1 Mg 0.584 0.416 0.209  -0.01
2 Mg 0.677 0.946 0.815  -0.01
3 Mg 0.677 0.946 0.185  -0.01
4 Mg 0.054 0.323 0.185  -0.01
5 Mg 0.901 0.648 0.000  -0.02
6 Mg 0.399 0.601 0.500  0.00
7 C 0.740 0.260 0.000  0.06
8 Mg 0.466 0.125 0.500  0.00
9 Mg 0.875 0.534 0.500  0.00
10 Mn 0.360 0.640 0.000  3.40
11 Mg 0.170 0.830 0.268  -0.01
12 Mg 0.584 0.416 0.791  -0.01
13 Mg 0.170 0.830 0.732  -0.01
14 Mg 0.352 0.099 0.000  -0.02
15 Mg 0.054 0.323 0.815  -0.01
16 Mg 0.936 0.064 0.500  -0.01

---

Repeat the third record exactly.
Computed, not measured: a geometry-optimized TbTmGa4 structure at the PBE level of DFT.

Calculated volume   19.5 Å³ per atom
ρ   8.6 g/cm³
Formation energy from the elements   -0.54 eV per atom
Distance to the lowest polymorph of the same formula   0.084 eV/atom

Lattice parameters (Å, degrees): 5.492 5.492 5.492 60.00 60.00 60.00
Element x y z (fractional)
1 Ga 0.125 0.625 0.625
2 Ga 0.625 0.625 0.125
3 Tb 0.000 0.000 0.000
4 Tm 0.250 0.250 0.250
5 Ga 0.625 0.625 0.625
6 Ga 0.625 0.125 0.625

---

Which formula does entry 1 have? RhAu4

---

What is the calculated volume in the fifth record? 25.0 Å³ per atom